No. 1
DFT (PBE) results for FeCo2Se after structural relaxation.

Properties
DFT total energy = -6.28 eV/atom
ρ = 8.0 Mg/m³
Energy relative to the elements, uncorrected = 262 meV per atom
V = 156.5 Å³ per cell

abc: 2.8325 2.8325 22.5289
angles: 90.00 90.00 120.00
With the nearest neighbours (Å) after each atom.
Space group R-3m (No. 166, hexagonal axes)
Symmetry-distinct sites (fractional):
Fe1 0.0000 0.0000 0.0000  6 Co 2.45
Co1 0.0000 0.0000 0.2522  3 Fe 2.45, 3 Se 2.53
Se1 0.0000 0.0000 0.5000  6 Co 2.53



No. 2
DFT (PBE) results for KLaGe3 after structural relaxation.

Properties
DFT formation energy = 0.4184 eV per atom
DFT total energy = -3.56 eV/atom
ρ = 3.4 Mg/m³
ΔE to the lowest computed polymorph = 0.0 kJ/mol of formula units
V = 192.6 Å³ per cell

abc: 5.7752 5.7752 5.7752
angles: 90.00 90.00 90.00
With the nearest neighbours (Å) after each atom.
Space group Pm-3m (No. 221)
Symmetry-distinct sites (fractional):
K1 0.0000 0.0000 0.0000  12 Ge 4.08
La1 0.5000 0.5000 0.5000  6 Ge 2.89
Ge1 0.0000 0.5000 0.5000  2 La 2.89



No. 3
DFT (PBE) results for TbAgPbS3 after structural relaxation.

Properties
DFT total energy = -4.95 eV/atom
ρ = 6.6 Mg/m³
Energy relative to the elements, uncorrected = -1022 meV per atom
V = 288.1 Å³ per cell

abc: 8.2470 4.0389 8.8782
angles: 90.00 103.06 90.00
With the nearest neighbours (Å) after each atom.
Space group P2_1/m (No. 11)
Symmetry-distinct sites (fractional):
Tb1 0.1730 0.2500 0.1678  6 S 2.78-2.79
Ag1 0.4043 0.7500 0.4132  4 S 2.54-2.82, 2 Ag 2.80
Pb1 0.3038 0.7500 0.7673  7 S 3.02-3.20
S1 0.0637 0.2500 0.8461  3 Tb 2.79, 2 Pb 3.02
S2 0.2458 0.2500 0.4890  3 Ag 2.58-2.82, 1 Tb 2.78
S3 0.3904 0.7500 0.1244  1 Ag 2.54, 2 Tb 2.78



No. 4
DFT (PBE) results for AgW after structural relaxation.

Properties
DFT formation energy = 0.8559 eV per atom
DFT total energy = -7.05 eV/atom
ρ = 13.4 Mg/m³
ΔE to the lowest computed polymorph = 99.0 kJ/mol of formula units
V = 288.9 Å³ per cell

abc: 4.9802 7.6270 7.6060
angles: 90.00 90.00 90.00
With the nearest neighbours (Å) after each atom.
Space group Pnma (No. 62)
Symmetry-distinct sites (fractional):
Ag1 0.1356 0.0678 0.1653  4 Ag 2.78-3.04, 5 W 2.82-3.04
W1 0.1455 0.2500 0.5208  3 W 2.45-2.74
W2 0.1553 0.2500 0.8432  3 W 2.45-2.74



No. 5
DFT (PBE) results for Mg12Ga6Sn after structural relaxation.

Properties
DFT formation energy = -0.0995 eV per atom
DFT total energy = -2.27 eV/atom
ρ = 3.5 Mg/m³
V = 1175.5 Å³ per cell

abc: 13.3547 13.3547 7.6110
angles: 90.00 90.00 120.00
With the nearest neighbours (Å) after each atom.
Space group R-3 (No. 148, hexagonal axes)
Symmetry-distinct sites (fractional):
Mg1 0.0061 0.1392 0.1615  4 Ga 2.96-3.13, 7 Mg 3.01-3.28, 1 Sn 3.15
Mg2 0.0632 0.5629 0.1716  5 Ga 2.94-3.14, 6 Mg 3.01-3.28, 1 Sn 3.15
Ga1 0.0260 0.2754 0.8322  9 Mg 2.94-3.14, 3 Ga 3.07-3.27
Sn1 0.0000 0.0000 0.5000  12 Mg 3.15



No. 6
DFT (PBE) results for Na2LiHoI6 after structural relaxation.

Properties
DFT total energy = -3.12 eV/atom
ρ = 4.3 Mg/m³
Energy relative to the elements, uncorrected = -1276 meV per atom
V = 378.7 Å³ per cell

abc: 7.8868 7.8898 8.3687
angles: 118.06 90.03 119.98
With the nearest neighbours (Å) after each atom.
Space group P1 (No. 1)
Symmetry-distinct sites (fractional):
Na1 0.0000 0.0000 0.0000  6 I 3.19-3.32
Na2 0.4943 0.9880 0.4821  6 I 3.20-3.27
Li1 0.2966 0.5915 0.8890  6 I 2.97-3.21
Ho1 0.8060 0.6119 0.4188  6 I 3.02-3.06
I1 0.0622 0.4918 0.1788  1 Ho 3.02, 2 Na 3.19-3.27, 1 Li 3.20
I2 0.1883 0.1078 0.6798  1 Li 2.97, 1 Ho 3.06, 2 Na 3.20-3.32
I3 0.4300 0.1163 0.1786  1 Ho 3.02, 2 Na 3.19-3.27, 1 Li 3.21
I4 0.5713 0.7594 0.6800  1 Li 2.97, 1 Ho 3.05, 2 Na 3.20-3.32
I5 0.6864 0.7481 0.1783  1 Ho 3.02, 2 Na 3.19-3.27, 1 Li 3.20
I6 0.9202 0.4913 0.6804  1 Li 2.97, 1 Ho 3.05, 2 Na 3.20-3.32



Q: What is the DFT total energy in the third record?
A: -4.95 eV/atom